No. 1
## InP (PBE-GGA)

Data for a geometry-optimized InP structure.

Output
Its formation energy is 0.015 eV/atom. The space group is No. 70. The raw total energy comes out at -4.06 eV per atom.

Cell lengths 8.106, 7.179, 7.099 Å; angles 69.18, 55.88, 54.95 degrees
Fractional coordinates of all 8 atoms:
In: 0.031 0.719 0.031
In: 0.281 0.969 0.281
In: 0.719 0.031 0.719
In: 0.969 0.281 0.969
P: 0.043 0.043 0.707
P: 0.293 0.293 0.957
P: 0.707 0.707 0.043
P: 0.957 0.957 0.293


No. 2
## CoHPtAu2 (PBE-GGA)

Data for a geometry-optimized CoHPtAu2 structure.

Output
The space group is No. 123. The raw total energy comes out at -4.34 eV per atom.

Cell lengths 4.552, 4.552, 3.203 Å; angles 90.00, 90.00, 90.00 degrees
Fractional coordinates of all 5 atoms:
Co: 0.000 0.000 0.000
H: 0.000 0.000 0.500
Pt: 0.500 0.500 0.000
Au: 0.000 0.500 0.500
Au: 0.500 0.000 0.500


No. 3
## SnHgW3 (PBE-GGA)

Data for a geometry-optimized SnHgW3 structure.

Output
Its formation energy is 2.702 eV/atom. The space group is No. 221. The raw total energy comes out at -5.93 eV per atom.

Cell lengths 4.905, 4.905, 4.905 Å; angles 90.00, 90.00, 90.00 degrees
Fractional coordinates of all 5 atoms:
Sn: 0.000 0.000 0.000
Hg: 0.500 0.500 0.500
W: 0.000 0.000 0.500
W: 0.000 0.500 0.000
W: 0.500 0.000 0.000


No. 4
## BaIn2Mo (PBE-GGA)

Data for a geometry-optimized BaIn2Mo structure.

Output
Its formation energy is 0.458 eV/atom. The space group is No. 166. The raw total energy comes out at -4.10 eV per atom.

Cell lengths 10.869, 10.869, 10.869 Å; angles 17.47, 17.47, 17.47 degrees
Fractional coordinates of all 4 atoms:
Ba: 0.000 0.000 0.000
In: 0.236 0.236 0.236
In: 0.764 0.764 0.764
Mo: 0.500 0.500 0.500


No. 5
## KRe2Ni (PBE-GGA)

Data for a geometry-optimized KRe2Ni structure.

Output
Its formation energy is 1.956 eV/atom. The space group is No. 123. The raw total energy comes out at -5.99 eV per atom.

Cell lengths 5.076, 5.076, 2.589 Å; angles 90.00, 90.00, 90.00 degrees
Fractional coordinates of all 4 atoms:
K: 0.000 0.000 0.000
Re: 0.000 0.500 0.500
Re: 0.500 0.000 0.500
Ni: 0.500 0.500 0.000


No. 6
## BaMoRh2 (PBE-GGA)

Data for a geometry-optimized BaMoRh2 structure.

Output
Its formation energy is 0.563 eV/atom. The space group is No. 71. The raw total energy comes out at -6.30 eV per atom.

Cell lengths 5.606, 5.606, 5.606 Å; angles 143.05, 118.12, 74.31 degrees
Fractional coordinates of all 4 atoms:
Ba: 0.000 0.000 0.000
Mo: 0.500 0.500 0.000
Rh: 0.310 0.810 0.500
Rh: 0.690 0.190 0.500


No. 7
## AcSm2ScSe6 (PBE-GGA)

Data for a geometry-optimized AcSm2ScSe6 structure.

Output
The space group is No. 146. Its formation energy without anion corrections is -1803.7 meV/atom. The raw total energy comes out at -5.88 eV per atom.

Cell lengths 7.798, 7.798, 7.798 Å; angles 56.41, 56.41, 56.41 degrees
Fractional coordinates of all 10 atoms:
Ac: 0.000 0.000 0.000
Sm: 0.285 0.285 0.285
Sm: 0.796 0.796 0.796
Sc: 0.485 0.485 0.485
Se: 0.096 0.662 0.421
Se: 0.219 0.585 0.865
Se: 0.421 0.096 0.662
Se: 0.585 0.865 0.219
Se: 0.662 0.421 0.096
Se: 0.865 0.219 0.585


No. 8
## RbCrSb3 (PBE-GGA)

Data for a geometry-optimized RbCrSb3 structure.

Output
The space group is No. 221. Its formation energy without anion corrections is 2306.2 meV/atom. The raw total energy comes out at -2.29 eV per atom.

Cell lengths 5.838, 5.838, 5.838 Å; angles 90.00, 90.00, 90.00 degrees
Fractional coordinates of all 5 atoms:
Rb: 0.000 0.000 0.000
Cr: 0.500 0.500 0.500
Sb: 0.000 0.000 0.500
Sb: 0.000 0.500 0.000
Sb: 0.500 0.000 0.000


No. 9
## Dy14TmHf (PBE-GGA)

Data for a geometry-optimized Dy14TmHf structure.

Output
Its formation energy is 0.048 eV/atom. The space group is No. 123. The raw total energy comes out at -4.88 eV per atom.

Cell lengths 7.021, 7.021, 9.907 Å; angles 90.00, 90.00, 90.00 degrees
Fractional coordinates of all 16 atoms:
Dy: 0.000 0.000 0.000
Dy: 0.000 0.500 0.000
Dy: 0.000 0.500 0.500
Dy: 0.245 0.245 0.256
Dy: 0.245 0.245 0.744
Dy: 0.245 0.755 0.256
Dy: 0.245 0.755 0.744
Dy: 0.500 0.000 0.000
Dy: 0.500 0.000 0.500
Dy: 0.500 0.500 0.000
Dy: 0.755 0.245 0.256
Dy: 0.755 0.245 0.744
Dy: 0.755 0.755 0.256
Dy: 0.755 0.755 0.744
Tm: 0.500 0.500 0.500
Hf: 0.000 0.000 0.500


No. 10
## TcPbCl2 (PBE-GGA)

Data for a geometry-optimized TcPbCl2 structure.

Output
The space group is No. 71. Its formation energy without anion corrections is -79.0 meV/atom. The raw total energy comes out at -4.52 eV per atom.

Cell lengths 7.017, 7.017, 7.017 Å; angles 153.75, 137.95, 50.25 degrees
Fractional coordinates of all 4 atoms:
Tc: 0.000 0.000 0.000
Pb: 0.500 0.500 0.000
Cl: 0.151 0.651 0.500
Cl: 0.849 0.349 0.500


No. 11
## Ce3Y5Se12 (PBE-GGA)

Data for a geometry-optimized Ce3Y5Se12 structure.

Output
The space group is No. 230. Its formation energy without anion corrections is -1692.6 meV/atom. The raw total energy comes out at -6.29 eV per atom.

Cell lengths 14.765, 14.765, 14.765 Å; angles 109.47, 109.47, 109.47 degrees
Fractional coordinates of all 80 atoms:
Ce: 0.125 0.250 0.375
Ce: 0.125 0.375 0.750
Ce: 0.250 0.375 0.125
Ce: 0.250 0.875 0.625
Ce: 0.375 0.125 0.250
Ce: 0.375 0.750 0.125
Ce: 0.625 0.250 0.875
Ce: 0.625 0.875 0.750
Ce: 0.750 0.125 0.375
Ce: 0.750 0.625 0.875
Ce: 0.875 0.625 0.250
Ce: 0.875 0.750 0.625
Y: 0.000 0.000 0.000
Y: 0.000 0.000 0.500
Y: 0.000 0.500 0.000
Y: 0.000 0.500 0.500
Y: 0.125 0.750 0.875
Y: 0.125 0.875 0.250
Y: 0.250 0.125 0.875
Y: 0.250 0.625 0.375
Y: 0.375 0.250 0.625
Y: 0.375 0.625 0.750
Y: 0.500 0.000 0.000
Y: 0.500 0.000 0.500
Y: 0.500 0.500 0.000
Y: 0.500 0.500 0.500
Y: 0.625 0.375 0.250
Y: 0.625 0.750 0.375
Y: 0.750 0.375 0.625
Y: 0.750 0.875 0.125
Y: 0.875 0.125 0.750
Y: 0.875 0.250 0.125
Se: 0.046 0.221 0.130
Se: 0.046 0.326 0.916
Se: 0.084 0.630 0.409
Se: 0.084 0.954 0.674
Se: 0.091 0.721 0.674
Se: 0.091 0.870 0.416
Se: 0.130 0.046 0.221
Se: 0.130 0.584 0.909
Se: 0.174 0.221 0.591
Se: 0.174 0.454 0.584
Se: 0.221 0.130 0.046
Se: 0.221 0.591 0.174
Se: 0.279 0.326 0.909
Se: 0.279 0.454 0.370
Se: 0.326 0.909 0.279
Se: 0.326 0.916 0.046
Se: 0.370 0.279 0.454
Se: 0.370 0.591 0.916
Se: 0.409 0.084 0.630
Se: 0.409 0.826 0.779
Se: 0.416 0.091 0.870
Se: 0.416 0.826 0.546
Se: 0.454 0.370 0.279
Se: 0.454 0.584 0.174
Se: 0.546 0.416 0.826
Se: 0.546 0.630 0.721
Se: 0.584 0.174 0.454
Se: 0.584 0.909 0.130
Se: 0.591 0.174 0.221
Se: 0.591 0.916 0.370
Se: 0.630 0.409 0.084
Se: 0.630 0.721 0.546
Se: 0.674 0.084 0.954
Se: 0.674 0.091 0.721
Se: 0.721 0.546 0.630
Se: 0.721 0.674 0.091
Se: 0.779 0.409 0.826
Se: 0.779 0.870 0.954
Se: 0.826 0.546 0.416
Se: 0.826 0.779 0.409
Se: 0.870 0.416 0.091
Se: 0.870 0.954 0.779
Se: 0.909 0.130 0.584
Se: 0.909 0.279 0.326
Se: 0.916 0.046 0.326
Se: 0.916 0.370 0.591
Se: 0.954 0.674 0.084
Se: 0.954 0.779 0.870


No. 12
## LiPuBi (PBE-GGA)

Data for a geometry-optimized LiPuBi structure.

Output
Its formation energy is -0.123 eV/atom. The space group is No. 107. The raw total energy comes out at -6.83 eV per atom.

Cell lengths 5.471, 5.471, 5.471 Å; angles 134.43, 134.43, 66.42 degrees
Fractional coordinates of all 3 atoms:
Li: 0.000 0.000 0.000
Pu: 0.671 0.671 0.000
Bi: 0.322 0.322 0.000


No. 13
## K2MoBr (PBE-GGA)

Data for a geometry-optimized K2MoBr structure.

Output
The space group is No. 166. Its formation energy without anion corrections is 397.9 meV/atom. The raw total energy comes out at -3.28 eV per atom.

Cell lengths 9.854, 9.854, 9.854 Å; angles 26.20, 26.20, 26.20 degrees
Fractional coordinates of all 4 atoms:
K: 0.238 0.238 0.238
K: 0.762 0.762 0.762
Mo: 0.000 0.000 0.000
Br: 0.500 0.500 0.500


No. 14
## Ba4BiSbBr2 (PBE-GGA)

Data for a geometry-optimized Ba4BiSbBr2 structure.

Output
The space group is No. 10. Its formation energy without anion corrections is -1467.9 meV/atom. The raw total energy comes out at -3.85 eV per atom.

Cell lengths 8.501, 5.048, 8.787 Å; angles 90.00, 110.10, 90.00 degrees
Fractional coordinates of all 8 atoms:
Ba: 0.231 0.000 0.241
Ba: 0.233 0.500 0.748
Ba: 0.767 0.500 0.252
Ba: 0.769 0.000 0.759
Bi: 0.000 0.000 0.500
Sb: 0.000 0.500 0.000
Br: 0.500 0.000 0.000
Br: 0.500 0.500 0.500


No. 15
## Nd2ZnNi (PBE-GGA)

Data for a geometry-optimized Nd2ZnNi structure.

Output
Its formation energy is 0.151 eV/atom. The space group is No. 166. The raw total energy comes out at -4.00 eV per atom.

Cell lengths 9.611, 9.611, 9.611 Å; angles 24.34, 24.34, 24.34 degrees
Fractional coordinates of all 4 atoms:
Nd: 0.114 0.114 0.114
Nd: 0.886 0.886 0.886
Zn: 0.000 0.000 0.000
Ni: 0.500 0.500 0.500


No. 16
## LiSbI2N (PBE-GGA)

Data for a geometry-optimized LiSbI2N structure.

Output
The space group is No. 123. Its formation energy without anion corrections is 196.0 meV/atom. The raw total energy comes out at -3.30 eV per atom.

Cell lengths 6.258, 6.258, 4.014 Å; angles 90.00, 90.00, 90.00 degrees
Fractional coordinates of all 5 atoms:
Li: 0.000 0.000 0.000
Sb: 0.500 0.500 0.500
I: 0.000 0.500 0.500
I: 0.500 0.000 0.500
N: 0.500 0.500 0.000


No. 17
## ZnIn3Hg3 (PBE-GGA)

Data for a geometry-optimized ZnIn3Hg3 structure.

Output
Its formation energy is 0.053 eV/atom. The space group is No. 12. The raw total energy comes out at -1.43 eV per atom.

Cell lengths 8.262, 8.262, 7.168 Å; angles 115.67, 115.67, 59.84 degrees
Fractional coordinates of all 14 atoms:
Zn: 0.137 0.137 0.388
Zn: 0.863 0.863 0.612
In: 0.001 0.500 0.270
In: 0.423 0.423 0.674
In: 0.500 0.001 0.270
In: 0.500 0.999 0.730
In: 0.577 0.577 0.326
In: 0.999 0.500 0.730
Hg: 0.191 0.809 0.000
Hg: 0.192 0.808 0.500
Hg: 0.330 0.330 0.080
Hg: 0.670 0.670 0.920
Hg: 0.808 0.192 0.500
Hg: 0.809 0.191 0.000


No. 18
## Li2ZrCl (PBE-GGA)

Data for a geometry-optimized Li2ZrCl structure.

Output
The space group is No. 47. Its formation energy without anion corrections is -125.0 meV/atom. The raw total energy comes out at -3.68 eV per atom.

Cell lengths 3.122, 4.666, 5.145 Å; angles 90.00, 90.00, 90.00 degrees
Fractional coordinates of all 4 atoms:
Li: 0.000 0.000 0.000
Li: 0.500 0.500 0.000
Zr: 0.000 0.500 0.500
Cl: 0.500 0.000 0.500


No. 19
## PuTh2V (PBE-GGA)

Data for a geometry-optimized PuTh2V structure.

Output
Its formation energy is 0.678 eV/atom. The space group is No. 166. The raw total energy comes out at -8.89 eV per atom.

Cell lengths 11.458, 11.458, 11.458 Å; angles 16.82, 16.82, 16.82 degrees
Fractional coordinates of all 4 atoms:
Pu: 0.000 0.000 0.000
Th: 0.420 0.420 0.420
Th: 0.580 0.580 0.580
V: 0.500 0.500 0.500


No. 20
## LaCO4 (PBE-GGA)

Data for a geometry-optimized LaCO4 structure.

Output
The space group is No. 14. Its formation energy without anion corrections is -2038.3 meV/atom. The raw total energy comes out at -7.70 eV per atom.

Cell lengths 6.291, 6.892, 8.252 Å; angles 90.00, 127.59, 90.00 degrees
Fractional coordinates of all 24 atoms:
La: 0.187 0.160 0.279
La: 0.187 0.340 0.779
La: 0.813 0.660 0.221
La: 0.813 0.840 0.721
C: 0.279 0.670 0.181
C: 0.279 0.830 0.681
C: 0.721 0.170 0.319
C: 0.721 0.330 0.819
O: 0.091 0.681 0.612
O: 0.091 0.819 0.112
O: 0.213 0.518 0.255
O: 0.213 0.982 0.755
O: 0.291 0.614 0.025
O: 0.291 0.886 0.525
O: 0.466 0.222 0.151
O: 0.466 0.278 0.651
O: 0.534 0.722 0.349
O: 0.534 0.778 0.849
O: 0.709 0.114 0.475
O: 0.709 0.386 0.975
O: 0.787 0.018 0.245
O: 0.787 0.482 0.745
O: 0.909 0.181 0.888
O: 0.909 0.319 0.388


No. 21
## Sm2SeN (PBE-GGA)

Data for a geometry-optimized Sm2SeN structure.

Output
The space group is No. 160. Its formation energy without anion corrections is -1608.8 meV/atom. The raw total energy comes out at -6.92 eV per atom.

Cell lengths 7.147, 7.147, 7.147 Å; angles 30.40, 30.40, 30.40 degrees
Fractional coordinates of all 4 atoms:
Sm: 0.000 0.000 0.000
Sm: 0.201 0.201 0.201
Se: 0.767 0.767 0.767
N: 0.597 0.597 0.597